(1)
Pm3V5N12: relaxed, PBE.

Cell and atoms, written as extended XYZ:
```
80
Lattice="10.912 0.000 0.000 -3.637 10.288 0.000 -3.637 -5.144 8.909" Properties=species:S:1:pos:R:3 pbc="T T T"
N 4.121 4.264 7.184
N 4.465 1.413 1.004
N 4.628 -0.996 5.176
N -1.335 -0.638 4.354
N 2.482 6.498 0.903
N 8.265 2.409 2.729
N 3.481 1.934 5.358
N -0.663 3.789 0.903
N -3.153 4.506 4.555
N 4.301 -1.459 8.188
N -1.155 0.105 7.285
N 3.153 -1.518 2.830
N -2.302 6.024 7.184
N -0.484 0.880 1.725
N -3.481 4.043 8.809
N 1.662 7.078 3.552
N -2.646 8.875 1.004
N -4.301 -0.105 7.285
N 5.940 -0.880 1.725
N -0.828 3.731 7.906
N -0.828 -2.735 6.180
N 4.972 5.782 4.555
N 2.482 3.684 0.722
N 7.118 1.101 0.101
N 0.156 3.209 3.552
N 4.301 1.355 8.006
N 6.791 0.638 4.354
N 1.155 1.459 8.188
N 1.335 3.626 6.079
N 5.612 3.035 3.451
N 2.810 4.147 3.733
N 4.465 7.879 2.729
N 4.792 5.039 1.625
N 1.975 -1.934 5.358
N 5.612 9.187 0.101
N 0.828 0.996 5.176
N 1.155 -1.355 8.006
N 7.431 -2.109 5.458
N -1.975 2.109 5.458
N -3.794 7.252 3.451
N 2.302 1.518 2.830
N -1.975 -4.043 8.809
N -0.663 6.603 0.722
N -4.628 2.735 6.180
N 6.283 -3.731 7.906
N 7.938 5.249 1.625
N -0.991 6.140 3.733
N 0.484 6.662 6.079
Pm 6.365 7.073 1.114
Pm -2.728 -1.929 7.796
Pm 8.184 0.000 2.227
Pm -0.909 4.501 5.568
Pm 0.909 -0.643 3.341
Pm 2.728 0.000 6.682
Pm -2.728 1.929 7.796
Pm 2.728 5.787 5.568
Pm 4.547 0.643 3.341
Pm 6.365 3.215 1.114
Pm -4.547 5.144 6.682
Pm 0.909 5.144 2.227
V 3.637 5.144 0.000
V -1.819 -2.572 4.455
V 2.728 7.716 2.227
V -1.819 5.144 0.000
V 4.547 4.501 3.341
V 0.000 0.000 0.000
V 2.728 1.929 1.114
V -3.637 2.572 4.455
V 1.819 2.572 4.455
V -2.728 5.787 3.341
V 4.547 2.572 6.682
V 3.637 -2.572 4.455
V 5.456 0.000 0.000
V 6.365 -0.643 5.568
V 0.909 -2.572 6.682
V 4.547 -3.215 7.796
V 0.909 3.215 7.796
V -0.909 8.359 1.114
V -0.909 2.572 2.227
V -0.909 0.643 5.568
```

Values from the calculation:
ρ   5.70 Mg/m³
SG   No. 230
E_form (uncorrected)   -0.80 eV/atom

=====

(2)
AlOs2W: relaxed, PBE.

Cell and atoms, written as extended XYZ:
```
4
Lattice="4.375 0.000 0.000 2.187 3.789 0.000 2.187 1.263 3.572" Properties=species:S:1:pos:R:3 pbc="T T T"
W 2.187 1.263 0.893
Os 0.000 0.000 0.000
Os 6.562 3.789 2.679
Al 4.375 2.526 1.786
```

Values from the calculation:
ρ   16.59 Mg/m³
DFT total energy   -9.568 eV/atom
SG   No. 216